Record 1
Crystalline Rb2Ba2Ni at its relaxed geometry, computed with PBE-GGA.

a = 8.412 Å, b = 8.412 Å, c = 8.124 Å
α = 90.00°, β = 90.00°, γ = 90.00°
Atoms (fractional coordinates):
1 Rb 0.184 0.684 0.500
2 Rb 0.316 0.184 0.500
3 Rb 0.816 0.316 0.500
4 Rb 0.684 0.816 0.500
5 Ba 0.809 0.691 0.000
6 Ba 0.309 0.809 0.000
7 Ba 0.691 0.191 0.000
8 Ba 0.191 0.309 0.000
9 Ni 0.500 0.500 0.000
10 Ni 0.000 0.000 0.000

D(E_F) (states/eV/atom): 1.143
Calculated formation energy (eV/atom): 0.29
Symmetry: No. 127
Final energy (eV/atom): -2.023

---

Record 2
Crystalline RbNbAg2Cl at its relaxed geometry, computed with PBE-GGA.

a = 5.236 Å, b = 5.759 Å, c = 5.236 Å
α = 90.00°, β = 90.00°, γ = 90.00°
Site moments in Bohr magnetons follow the coordinates.
Atoms (fractional coordinates):
1 Ag 0.500 0.000 0.000  0.06
2 Ag 0.000 0.000 0.500  0.02
3 Rb 0.000 0.500 0.000  0.05
4 Cl 0.000 0.000 0.000  0.06
5 Nb 0.500 0.500 0.500  3.11

Formation energy (no corrections) (eV/atom): 0.995
D(E_F) (states/eV/atom): 0.527
Symmetry: No. 123
Final energy (eV/atom): -2.722

---

Record 3
Crystalline NaSb2O5 at its relaxed geometry, computed with PBE-GGA.

a = 4.012 Å, b = 5.807 Å, c = 10.353 Å
α = 90.00°, β = 90.00°, γ = 110.21°
Atoms (fractional coordinates):
1 O 0.190 0.379 0.750
2 O 0.320 0.640 0.033
3 O 0.320 0.640 0.467
4 O 0.810 0.621 0.250
5 O 0.680 0.360 0.967
6 O 0.046 0.092 0.385
7 O 0.680 0.360 0.533
8 O 0.046 0.092 0.115
9 O 0.954 0.908 0.885
10 O 0.954 0.908 0.615
11 Na 0.404 0.808 0.750
12 Na 0.596 0.192 0.250
13 Sb 0.867 0.734 0.062
14 Sb 0.133 0.266 0.938
15 Sb 0.867 0.734 0.438
16 Sb 0.133 0.266 0.562

Formation energy (no corrections) (eV/atom): -1.414
D(E_F) (states/eV/atom): 0.137
Symmetry: No. 63
Final energy (eV/atom): -5.708

---

Record 4
Crystalline MgTc2Sb at its relaxed geometry, computed with PBE-GGA.

a = 4.515 Å, b = 4.515 Å, c = 4.515 Å
α = 60.00°, β = 60.00°, γ = 60.00°
Atoms (fractional coordinates):
1 Sb 0.500 0.500 0.500
2 Mg 0.000 0.000 0.000
3 Tc 0.750 0.750 0.750
4 Tc 0.250 0.250 0.250

Formation energy (no corrections) (eV/atom): 0.173
D(E_F) (states/eV/atom): 1.312
Symmetry: No. 225
Final energy (eV/atom): -6.439

---

Record 5
Crystalline Be3TcAg at its relaxed geometry, computed with PBE-GGA.

a = 4.184 Å, b = 4.184 Å, c = 4.184 Å
α = 90.00°, β = 90.00°, γ = 90.00°
Atoms (fractional coordinates):
1 Tc 0.000 0.000 0.000
2 Ag 0.500 0.500 0.500
3 Be 0.000 0.500 0.000
4 Be 0.000 0.000 0.500
5 Be 0.500 0.000 0.000

D(E_F) (states/eV/atom): 0.421
Calculated formation energy (eV/atom): 0.93
Symmetry: No. 221
Final energy (eV/atom): -3.945

---

Record 6
Crystalline YAg at its relaxed geometry, computed with PBE-GGA.

a = 6.203 Å, b = 6.203 Å, c = 6.203 Å
α = 145.80°, β = 132.79°, γ = 59.58°
Atoms (fractional coordinates):
1 Y 0.859 0.109 0.250
2 Y 0.141 0.891 0.750
3 Ag 0.606 0.356 0.750
4 Ag 0.394 0.644 0.250

D(E_F) (states/eV/atom): 1.144
Calculated formation energy (eV/atom): -0.18
Symmetry: No. 74
Final energy (eV/atom): -4.837

---

Record 7
Crystalline Mg2BiBr at its relaxed geometry, computed with PBE-GGA.

a = 7.339 Å, b = 4.657 Å, c = 7.494 Å
α = 90.00°, β = 97.46°, γ = 90.00°
Atoms (fractional coordinates):
1 Br 0.431 0.527 0.307
2 Br 0.569 0.027 0.693
3 Bi 0.898 0.892 0.251
4 Bi 0.102 0.392 0.749
5 Mg 0.103 0.387 0.143
6 Mg 0.227 0.862 0.529
7 Mg 0.897 0.887 0.857
8 Mg 0.773 0.362 0.471

Formation energy (no corrections) (eV/atom): -0.599
Symmetry: No. 4
Final energy (eV/atom): -2.785

---

Record 8
Crystalline Ce2YPaAs5 at its relaxed geometry, computed with PBE-GGA.

a = 5.104 Å, b = 5.104 Å, c = 10.865 Å
α = 90.00°, β = 90.00°, γ = 90.00°
Site moments in Bohr magnetons follow the coordinates.
Atoms (fractional coordinates):
1 Ce 0.500 0.500 0.278  0.85
2 Ce 0.500 0.500 0.722  0.85
3 As 0.500 0.000 0.500  -0.02
4 As 0.000 0.000 0.247  -0.03
5 As 0.000 0.000 0.753  -0.03
6 As 0.500 0.500 0.000  -0.03
7 As 0.000 0.500 0.500  -0.02
8 Pa 0.000 0.000 0.500  -0.05
9 Y 0.000 0.000 0.000  -0.01

D(E_F) (states/eV/atom): 1.785
Calculated formation energy (eV/atom): -0.61
Symmetry: No. 123
Final energy (eV/atom): -6.283

---

Record 9
Crystalline ScMo2Pt at its relaxed geometry, computed with PBE-GGA.

a = 3.431 Å, b = 3.431 Å, c = 5.791 Å
α = 90.00°, β = 90.00°, γ = 90.00°
Atoms (fractional coordinates):
1 Mo 0.000 0.000 0.021
2 Mo 0.000 0.000 0.479
3 Sc 0.500 0.500 0.750
4 Pt 0.500 0.500 0.250

D(E_F) (states/eV/atom): 1.260
Calculated formation energy (eV/atom): 0.10
Symmetry: No. 123
Final energy (eV/atom): -8.411

---

Record 10
Crystalline Sc2TiPd2 at its relaxed geometry, computed with PBE-GGA.

a = 6.683 Å, b = 6.683 Å, c = 4.284 Å
α = 90.00°, β = 90.00°, γ = 90.00°
Atoms (fractional coordinates):
1 Ti 0.000 0.000 0.000
2 Ti 0.500 0.500 0.000
3 Sc 0.670 0.830 0.500
4 Sc 0.170 0.670 0.500
5 Sc 0.830 0.330 0.500
6 Sc 0.330 0.170 0.500
7 Pd 0.359 0.859 0.000
8 Pd 0.641 0.141 0.000
9 Pd 0.141 0.359 0.000
10 Pd 0.859 0.641 0.000

D(E_F) (states/eV/atom): 1.176
Calculated formation energy (eV/atom): -0.57
Symmetry: No. 127
Final energy (eV/atom): -6.755

---

Record 11
Crystalline TlReMo2 at its relaxed geometry, computed with PBE-GGA.

a = 4.585 Å, b = 4.585 Å, c = 4.585 Å
α = 60.00°, β = 60.00°, γ = 60.00°
Atoms (fractional coordinates):
1 Mo 0.250 0.250 0.250
2 Mo 0.000 0.000 0.000
3 Re 0.500 0.500 0.500
4 Tl 0.750 0.750 0.750

D(E_F) (states/eV/atom): 0.732
Calculated formation energy (eV/atom): 0.74
Symmetry: No. 216
Final energy (eV/atom): -8.384

---

Record 12
Crystalline RePIrS2 at its relaxed geometry, computed with PBE-GGA.

a = 4.655 Å, b = 4.655 Å, c = 4.512 Å
α = 90.00°, β = 90.00°, γ = 90.00°
Site moments in Bohr magnetons follow the coordinates.
Atoms (fractional coordinates):
1 S 0.000 0.500 0.000  -0.14
2 S 0.500 0.000 0.000  -0.14
3 P 0.000 0.000 0.500  -0.22
4 Re 0.500 0.500 0.500  3.04
5 Ir 0.000 0.000 0.000  -0.24

Formation energy (no corrections) (eV/atom): 1.399
D(E_F) (states/eV/atom): 0.993
Symmetry: No. 123
Final energy (eV/atom): -5.596